Arrangement i

Entry from Alexandria: a relaxed ScTcBr2 crystal (PBEsol). Values from VASP.

Properties
total moment: 0.004 μB/f.u.
V: 69 Å³/cell
N(E_F): 1.178 states/eV/atom
symmetry: Fm-3m, No. 225

The structure in Quantum ESPRESSO input format:
```
&SYSTEM
  ibrav = 0, nat = 4, ntyp = 3
/
ATOMIC_SPECIES
Br 79.90 Br.upf
Sc 44.96 Sc.upf
Tc 98.00 Tc.upf
CELL_PARAMETERS angstrom
4.606 0.000 0.000
2.303 3.989 0.000
2.303 1.330 3.761
ATOMIC_POSITIONS angstrom
Br 2.303 1.330 0.940
Br 6.909 3.989 2.821
Sc 4.606 2.659 1.881
Tc 0.000 0.000 0.000
```

Arrangement ii

Entry from Alexandria: a relaxed ScTcBr2 crystal (PBEsol). Values from VASP.

Properties
total moment: 1.198 μB/f.u.
V: 79 Å³/cell
N(E_F): 0.785 states/eV/atom
symmetry: C2/m, No. 12

The structure in Quantum ESPRESSO input format:
```
&SYSTEM
  ibrav = 0, nat = 4, ntyp = 3
/
ATOMIC_SPECIES
Br 79.90 Br.upf
Sc 44.96 Sc.upf
Tc 98.00 Tc.upf
CELL_PARAMETERS angstrom
3.539 0.040 0.000
-0.174 5.184 0.000
-1.682 -2.612 4.321
ATOMIC_POSITIONS angstrom
Br -0.841 -1.306 2.160
Br 0.841 1.306 2.160
Sc 0.000 0.000 0.000
Tc 1.682 2.612 0.000
```

Arrangement iii

Entry from Alexandria: a relaxed ScTcBr2 crystal (PBEsol). Values from VASP.

Properties
total moment: 1.070 μB/f.u.
V: 78 Å³/cell
N(E_F): 0.896 states/eV/atom
symmetry: R-3m, No. 166

The structure in Quantum ESPRESSO input format:
```
&SYSTEM
  ibrav = 0, nat = 4, ntyp = 3
/
ATOMIC_SPECIES
Sc 44.96 Sc.upf
Tc 98.00 Tc.upf
Br 79.90 Br.upf
CELL_PARAMETERS angstrom
3.218 0.000 0.000
1.609 2.787 0.000
1.609 0.929 8.727
ATOMIC_POSITIONS angstrom
Sc 3.218 1.858 4.364
Tc 0.000 0.000 0.000
Br 4.827 2.787 2.455
Br 1.609 0.929 6.273
```

Which of them is the most stable, and which is the least stable? arrangement iii and arrangement i, in that order.

Arrangement i

Entry from Alexandria: a relaxed ScTcBr2 crystal (PBEsol). Values from VASP.

Properties
total moment: 1.635 μB/f.u.
V: 78 Å³/cell
N(E_F): 0.734 states/eV/atom
symmetry: Pmmm, No. 47

The structure in Quantum ESPRESSO input format:
```
&SYSTEM
  ibrav = 0, nat = 4, ntyp = 3
/
ATOMIC_SPECIES
Br 79.90 Br.upf
Sc 44.96 Sc.upf
Tc 98.00 Tc.upf
CELL_PARAMETERS angstrom
-1.532 -2.756 -0.026
3.451 -1.902 -1.813
2.074 -1.202 5.210
ATOMIC_POSITIONS angstrom
Br 0.000 0.000 0.000
Br 0.271 -1.979 2.592
Sc 0.959 -2.329 -0.919
Tc 2.762 -1.552 1.699
```

Arrangement ii

Entry from Alexandria: a relaxed ScTcBr2 crystal (PBEsol). Values from VASP.

Properties
total moment: 2.727 μB/f.u.
V: 77 Å³/cell
N(E_F): 0.971 states/eV/atom
symmetry: R-3m, No. 166

The structure in Quantum ESPRESSO input format:
```
&SYSTEM
  ibrav = 0, nat = 4, ntyp = 3
/
ATOMIC_SPECIES
Br 79.90 Br.upf
Sc 44.96 Sc.upf
Tc 98.00 Tc.upf
CELL_PARAMETERS angstrom
-0.408 -2.841 1.524
2.469 -1.333 1.640
-1.745 2.709 8.049
ATOMIC_POSITIONS angstrom
Br 0.041 -0.302 2.913
Br 0.275 -1.163 8.300
Sc 0.158 -0.733 5.606
Tc 0.000 0.000 0.000
```

Which of them is the most stable, and which is the least stable? arrangement i and arrangement ii, in that order.

Arrangement i

Entry from Alexandria: a relaxed ScTeBr2 crystal (PBEsol). Values from VASP.

Properties
total moment: 0.001 μB/f.u.
V: 106 Å³/cell
N(E_F): 0.680 states/eV/atom
symmetry: P4mm, No. 99

The structure in Quantum ESPRESSO input format:
```
&SYSTEM
  ibrav = 0, nat = 4, ntyp = 3
/
ATOMIC_SPECIES
Br 79.90 Br.upf
Sc 44.96 Sc.upf
Te 127.60 Te.upf
CELL_PARAMETERS angstrom
3.742 0.000 0.000
0.000 3.742 0.000
0.000 0.000 7.558
ATOMIC_POSITIONS angstrom
Br 0.000 0.000 7.072
Br 1.871 1.871 2.302
Sc 0.000 0.000 4.161
Te 1.871 1.871 5.359
```

Arrangement ii

Entry from Alexandria: a relaxed ScTeBr2 crystal (PBEsol). Values from VASP.

Properties
total moment: 0.001 μB/f.u.
V: 117 Å³/cell
N(E_F): 0.911 states/eV/atom
symmetry: Pm, No. 6

The structure in Quantum ESPRESSO input format:
```
&SYSTEM
  ibrav = 0, nat = 4, ntyp = 3
/
ATOMIC_SPECIES
Br 79.90 Br.upf
Sc 44.96 Sc.upf
Te 127.60 Te.upf
CELL_PARAMETERS angstrom
3.667 0.000 0.000
0.000 4.392 -0.030
0.000 -2.121 7.253
ATOMIC_POSITIONS angstrom
Br 0.000 1.984 6.747
Br 1.833 1.953 2.178
Sc 0.000 1.966 4.123
Te 1.833 -0.225 5.010
```

Arrangement iii

Entry from Alexandria: a relaxed ScTeBr2 crystal (PBEsol). Values from VASP.

Properties
total moment: 0.001 μB/f.u.
V: 115 Å³/cell
N(E_F): 0.423 states/eV/atom
symmetry: Immm, No. 71

The structure in Quantum ESPRESSO input format:
```
&SYSTEM
  ibrav = 0, nat = 4, ntyp = 3
/
ATOMIC_SPECIES
Br 79.90 Br.upf
Sc 44.96 Sc.upf
Te 127.60 Te.upf
CELL_PARAMETERS angstrom
-2.945 1.596 0.166
-2.612 -4.940 1.148
3.608 2.594 5.199
ATOMIC_POSITIONS angstrom
Br -2.496 -1.358 2.650
Br 0.547 0.608 3.863
Sc -1.306 -2.470 0.574
Te -1.473 0.798 0.083
```

Which of them is the most stable, and which is the least stable? arrangement ii and arrangement i, in that order.

Arrangement i

Entry from Alexandria: a relaxed Sc2TlBr crystal (PBEsol). Values from VASP.

Properties
total moment: 0.000 μB/f.u.
V: 94 Å³/cell
N(E_F): 1.232 states/eV/atom
symmetry: Pmmm, No. 47

The structure in Quantum ESPRESSO input format:
```
&SYSTEM
  ibrav = 0, nat = 4, ntyp = 3
/
ATOMIC_SPECIES
Br 79.90 Br.upf
Sc 44.96 Sc.upf
Tl 204.38 Tl.upf
CELL_PARAMETERS angstrom
3.441 0.000 0.000
0.000 4.708 0.000
0.000 0.000 5.790
ATOMIC_POSITIONS angstrom
Br 0.000 2.354 2.895
Sc 0.000 0.000 0.000
Sc 1.721 0.000 2.895
Tl 1.721 2.354 0.000
```

Arrangement ii

Entry from Alexandria: a relaxed Sc2TlBr crystal (PBEsol). Values from VASP.

Properties
total moment: 0.001 μB/f.u.
V: 92 Å³/cell
N(E_F): 0.933 states/eV/atom
symmetry: Immm, No. 71

The structure in Quantum ESPRESSO input format:
```
&SYSTEM
  ibrav = 0, nat = 4, ntyp = 3
/
ATOMIC_SPECIES
Br 79.90 Br.upf
Sc 44.96 Sc.upf
Tl 204.38 Tl.upf
CELL_PARAMETERS angstrom
3.783 0.000 0.000
1.892 5.063 -0.012
1.892 1.656 4.785
ATOMIC_POSITIONS angstrom
Br 1.892 3.360 2.386
Sc 3.783 4.848 3.443
Sc 3.783 1.872 1.330
Tl 1.892 0.000 0.000
```

Which of them is the most stable, and which is the least stable? arrangement ii and arrangement i, in that order.

Arrangement i

Entry from Alexandria: a relaxed ScTlBr crystal (PBEsol). Values from VASP.

Properties
total moment: 0.001 μB/f.u.
V: 77 Å³/cell
N(E_F): 0.857 states/eV/atom
symmetry: P3m1, No. 156

The structure in Quantum ESPRESSO input format:
```
&SYSTEM
  ibrav = 0, nat = 3, ntyp = 3
/
ATOMIC_SPECIES
Br 79.90 Br.upf
Sc 44.96 Sc.upf
Tl 204.38 Tl.upf
CELL_PARAMETERS angstrom
3.475 0.000 0.000
-1.737 3.009 0.000
0.000 0.000 7.345
ATOMIC_POSITIONS angstrom
Br 0.000 0.000 6.855
Sc 0.000 2.006 5.069
Tl 1.737 1.003 2.767
```

Arrangement ii

Entry from Alexandria: a relaxed ScTlBr crystal (PBEsol). Values from VASP.

Properties
total moment: 0.000 μB/f.u.
V: 80 Å³/cell
N(E_F): 0.806 states/eV/atom
symmetry: Fmm2, No. 42

The structure in Quantum ESPRESSO input format:
```
&SYSTEM
  ibrav = 0, nat = 3, ntyp = 3
/
ATOMIC_SPECIES
Br 79.90 Br.upf
Sc 44.96 Sc.upf
Tl 204.38 Tl.upf
CELL_PARAMETERS angstrom
-2.354 -1.929 -1.590
0.516 -0.594 3.342
-4.461 6.389 0.867
ATOMIC_POSITIONS angstrom
Br -0.326 0.311 0.106
Sc -2.605 0.345 1.423
Tl -3.367 3.208 1.091
```

Which of them is the most stable, and which is the least stable? arrangement i and arrangement ii, in that order.

Arrangement i

Entry from Alexandria: a relaxed YScBr2 crystal (PBEsol). Values from VASP.

Properties
total moment: 3.915 μB/f.u.
V: 104 Å³/cell
N(E_F): 0.516 states/eV/atom
symmetry: F-43m, No. 216

The structure in Quantum ESPRESSO input format:
```
&SYSTEM
  ibrav = 0, nat = 4, ntyp = 3
/
ATOMIC_SPECIES
Br 79.90 Br.upf
Sc 44.96 Sc.upf
Y 88.91 Y.upf
CELL_PARAMETERS angstrom
-1.459 -3.018 -4.087
2.917 -4.192 -1.364
-1.836 -4.885 0.844
ATOMIC_POSITIONS angstrom
Br 0.000 0.000 0.000
Br -0.283 -9.072 -3.456
Sc -0.189 -6.048 -2.304
Y -0.094 -3.024 -1.152
```

Arrangement ii

Entry from Alexandria: a relaxed YScBr2 crystal (PBEsol). Values from VASP.

Properties
total moment: 0.000 μB/f.u.
V: 102 Å³/cell
N(E_F): 0.552 states/eV/atom
symmetry: P4mm, No. 99

The structure in Quantum ESPRESSO input format:
```
&SYSTEM
  ibrav = 0, nat = 4, ntyp = 3
/
ATOMIC_SPECIES
Br 79.90 Br.upf
Sc 44.96 Sc.upf
Y 88.91 Y.upf
CELL_PARAMETERS angstrom
-1.284 -0.179 -3.344
0.844 -3.483 -0.138
-7.179 -1.852 2.856
ATOMIC_POSITIONS angstrom
Br -0.303 -0.078 0.120
Br -5.079 -3.084 0.192
Sc -3.797 -0.980 1.511
Y -2.030 -2.298 -1.021
```

Which of them is the most stable, and which is the least stable? arrangement ii and arrangement i, in that order.